1.
First-principles (PBE) data for a geometry-optimized MnV3Re structure, as listed in the Alexandria database.

The value obtained for the relative energy among the computed polymorphs is 1128 meV/atom. Its crystal system is cubic. Its total energy is -44.371 eV for the cell shown. The calculation puts the density of states at the Fermi level at 8.1 states/eV/cell. The magnetic moment comes out at 0.000 μB/atom. Its formation enthalpy at 0 K is 0.92 eV per atom.

a b c (Å): 4.2138 4.2138 4.2138
angles (deg): 90.00 90.00 90.00
Space group Pm-3m (No. 221)
Unique sites:
Mn 0.0000 0.0000 0.0000
V 0.0000 0.0000 0.5000
Re 0.5000 0.5000 0.5000



2.
First-principles (PBE) data for a geometry-optimized MnVRe3 structure, as listed in the Alexandria database.

The value obtained for the relative energy among the computed polymorphs is 0 meV/atom. Its crystal system is cubic. Its total energy is -48.526 eV for the cell shown. The calculation puts the density of states at the Fermi level at 5.1 states/eV/cell. The magnetic moment comes out at 0.195 μB/atom. Its formation enthalpy at 0 K is 1.42 eV per atom.

a b c (Å): 4.3971 4.3971 4.3971
angles (deg): 90.00 90.00 90.00
Space group Pm-3m (No. 221)
Unique sites:
Mn 0.0000 0.0000 0.0000
V 0.5000 0.5000 0.5000
Re 0.0000 0.0000 0.5000



Question: magnetic moment of number 1 (MnV3Re)?
Answer: 0.000 μB/atom



Question: What is the relative energy among the computed polymorphs in the second record?
Answer: 0 meV/atom



Question: The lowest formation enthalpy at 0 K belongs to which entry?
Answer: MnV3Re